[1]
A plane-wave DFT calculation with GGA-PBE was carried out for a geometry-optimized Li4TlPd4 structure.

## Properties
Energy relative to the elements: -0.37 eV/atom

Lattice parameters (Å, degrees): 6.1885 6.1885 6.1885 96.13 96.13 141.86
Closest atoms and distances in Å follow each position.
Element x y z (fractional)
Li: 0.1789 0.1789 0.3579  2 Li 2.62, 6 Pd 2.66-2.81, 2 Tl 2.91
Li: 0.1789 0.8211 0.0000  2 Li 2.62, 6 Pd 2.66-2.81, 2 Tl 2.91
Li: 0.8211 0.1789 0.0000  2 Li 2.62, 6 Pd 2.66-2.81, 2 Tl 2.91
Li: 0.8211 0.8211 0.6421  2 Li 2.62, 6 Pd 2.66-2.81, 2 Tl 2.91
Tl: 0.5000 0.5000 0.0000  4 Pd 2.75, 8 Li 2.91
Pd: 0.1674 0.5000 0.6674  6 Li 2.66-2.81, 1 Tl 2.75, 5 Pd 2.77-2.81
Pd: 0.5000 0.1674 0.6674  6 Li 2.66-2.81, 1 Tl 2.75, 5 Pd 2.77-2.81
Pd: 0.5000 0.8326 0.3326  6 Li 2.66-2.81, 1 Tl 2.75, 5 Pd 2.77-2.81
Pd: 0.8326 0.5000 0.3326  6 Li 2.66-2.81, 1 Tl 2.75, 5 Pd 2.77-2.81



[2]
A plane-wave DFT calculation with GGA-PBE was carried out for a geometry-optimized CaGa2CuCl structure.

## Properties
Uncorrected formation energy: 0.6199 eV per atom

Lattice parameters (Å, degrees): 5.9874 5.9874 5.1998 90.00 90.00 90.00
Closest atoms and distances in Å follow each position.
Element x y z (fractional)
Ca: 0.0000 0.0000 0.0000  2 Cu 2.60
Ga: 0.0000 0.5000 0.0000  2 Ca 2.99
Ga: 0.5000 0.0000 0.0000  2 Ca 2.99
Cu: 0.0000 0.0000 0.5000  2 Ca 2.60
Cl: 0.5000 0.5000 0.5000  8 Ga 3.97, 4 Cu 4.23



[3]
A plane-wave DFT calculation with GGA-PBE was carried out for a geometry-optimized K4Ho3SiO8 structure.

## Properties
Uncorrected formation energy: -2.4119 eV per atom

Lattice parameters (Å, degrees): 7.3517 7.3517 7.3517 54.11 54.11 54.11
Closest atoms and distances in Å follow each position.
Element x y z (fractional)
K: 0.0000 0.0000 0.0000  6 O 3.06, 6 K 3.34
K: 0.0000 0.5000 0.5000  6 O 2.74-2.76
K: 0.5000 0.0000 0.5000  6 O 2.74-2.76
K: 0.5000 0.5000 0.0000  6 O 2.74-2.76
Ho: 0.0000 0.0000 0.5000  6 O 2.27-2.34
Ho: 0.0000 0.5000 0.0000  6 O 2.27-2.34
Ho: 0.5000 0.0000 0.0000  6 O 2.27-2.34
Si: 0.5000 0.5000 0.5000  6 O 1.93
O: 0.2301 0.2301 0.2301  3 Ho 2.27
O: 0.2739 0.6960 0.6960  1 Si 1.93
O: 0.3040 0.3040 0.7261  1 Si 1.93
O: 0.3040 0.7261 0.3040  1 Si 1.93
O: 0.6960 0.2739 0.6960  1 Si 1.93
O: 0.6960 0.6960 0.2739  1 Si 1.93
O: 0.7261 0.3040 0.3040  1 Si 1.93
O: 0.7699 0.7699 0.7699  3 Ho 2.27



[4]
A plane-wave DFT calculation with GGA-PBE was carried out for a geometry-optimized USbCl structure.

## Properties
Uncorrected formation energy: -0.5033 eV per atom
E above lowest polymorph: 0.27 eV/f.u.

Lattice parameters (Å, degrees): 4.4864 4.4864 15.5018 90.00 90.00 120.00
Closest atoms and distances in Å follow each position.
Element x y z (fractional)
U: 0.0000 0.0000 0.0000  3 Cl 2.76
U: 0.3333 0.6667 0.6667  3 Cl 2.76
U: 0.6667 0.3333 0.3333  3 Cl 2.76
Sb: 0.0000 0.0000 0.2218  4 U 3.11-3.44
Sb: 0.3333 0.6667 0.8884  4 U 3.11-3.44
Sb: 0.6667 0.3333 0.5551  4 U 3.11-3.44
Cl: 0.0000 0.0000 0.7286  3 U 2.76
Cl: 0.3333 0.6667 0.3953  3 U 2.76
Cl: 0.6667 0.3333 0.0619  3 U 2.76



[5]
A plane-wave DFT calculation with GGA-PBE was carried out for a geometry-optimized SrTc2F structure.

## Properties
Uncorrected formation energy: 1.2627 eV per atom
E above lowest polymorph: 3.31 eV/f.u.

Lattice parameters (Å, degrees): 6.8291 6.8291 6.8291 90.00 90.00 90.00
Closest atoms and distances in Å follow each position.
Element x y z (fractional)
Sr: 0.0000 0.0000 0.0000  8 Tc 2.96
Sr: 0.0000 0.5000 0.5000  8 Tc 2.96
Sr: 0.5000 0.0000 0.5000  8 Tc 2.96
Sr: 0.5000 0.5000 0.0000  8 Tc 2.96
Tc: 0.2500 0.2500 0.2500  4 F 2.96, 4 Sr 2.96
Tc: 0.2500 0.2500 0.7500  4 F 2.96, 4 Sr 2.96
Tc: 0.2500 0.7500 0.2500  4 F 2.96, 4 Sr 2.96
Tc: 0.2500 0.7500 0.7500  4 F 2.96, 4 Sr 2.96
Tc: 0.7500 0.2500 0.2500  4 F 2.96, 4 Sr 2.96
Tc: 0.7500 0.2500 0.7500  4 F 2.96, 4 Sr 2.96
Tc: 0.7500 0.7500 0.2500  4 F 2.96, 4 Sr 2.96
Tc: 0.7500 0.7500 0.7500  4 Sr 2.96, 4 F 2.96
F: 0.0000 0.0000 0.5000  8 Tc 2.96
F: 0.0000 0.5000 0.0000  8 Tc 2.96
F: 0.5000 0.0000 0.0000  8 Tc 2.96
F: 0.5000 0.5000 0.5000  8 Tc 2.96



[6]
A plane-wave DFT calculation with GGA-PBE was carried out for a geometry-optimized YHoTiAl structure.

## Properties
Energy relative to the elements: -0.06 eV/atom

Lattice parameters (Å, degrees): 7.2672 7.2672 7.2672 90.00 90.00 90.00
Closest atoms and distances in Å follow each position.
Element x y z (fractional)
Y: 0.0000 0.0000 0.0000  4 Al 3.15, 4 Ti 3.15
Y: 0.0000 0.5000 0.5000  4 Ti 3.15, 4 Al 3.15
Y: 0.5000 0.0000 0.5000  4 Ti 3.15, 4 Al 3.15
Y: 0.5000 0.5000 0.0000  4 Ti 3.15, 4 Al 3.15
Ho: 0.0000 0.0000 0.5000  4 Al 3.15, 4 Ti 3.15
Ho: 0.0000 0.5000 0.0000  4 Al 3.15, 4 Ti 3.15
Ho: 0.5000 0.0000 0.0000  4 Al 3.15, 4 Ti 3.15
Ho: 0.5000 0.5000 0.5000  4 Al 3.15, 4 Ti 3.15
Ti: 0.2500 0.2500 0.2500  4 Ho 3.15, 4 Y 3.15
Ti: 0.2500 0.7500 0.7500  4 Ho 3.15, 4 Y 3.15
Ti: 0.7500 0.2500 0.7500  4 Ho 3.15, 4 Y 3.15
Ti: 0.7500 0.7500 0.2500  4 Ho 3.15, 4 Y 3.15
Al: 0.2500 0.2500 0.7500  4 Ho 3.15, 4 Y 3.15
Al: 0.2500 0.7500 0.2500  4 Ho 3.15, 4 Y 3.15
Al: 0.7500 0.2500 0.2500  4 Ho 3.15, 4 Y 3.15
Al: 0.7500 0.7500 0.7500  4 Ho 3.15, 4 Y 3.15